1.
{"formula": "PaPtSe6", "functional": "PBE-GGA", "state": "optimized geometry", "lattice_angstrom": [[6.0395, 0.0000, 0.0000], [1.9751, 5.7158, 0.0000], [2.0546, 1.4540, 5.5834]], "species": ["Pa", "Pt", "Se", "Se", "Se", "Se", "Se", "Se"], "frac_coords": [[0.0000, 0.0000, 0.0000], [0.5000, 0.5000, 0.5000], [0.0700, 0.6997, 0.4612], [0.2947, 0.5367, 0.9292], [0.4633, 0.0680, 0.7046], [0.5367, 0.9320, 0.2954], [0.7053, 0.4633, 0.0708], [0.9300, 0.3003, 0.5388]], "e_form_raw_ev_per_atom": -0.3774, "space_group": "No. 2"}

2.
{"formula": "AlSnRhI2", "functional": "PBE-GGA", "state": "optimized geometry", "lattice_angstrom": [[5.6075, 0.0000, 0.0000], [0.0000, 5.6075, 0.0000], [0.0000, 0.0000, 5.0559]], "species": ["Al", "Sn", "Rh", "I", "I"], "frac_coords": [[0.0000, 0.0000, 0.0000], [0.5000, 0.5000, 0.0000], [0.5000, 0.5000, 0.5000], [0.0000, 0.5000, 0.5000], [0.5000, 0.0000, 0.5000]], "e_form_raw_ev_per_atom": 0.2381, "space_group": "No. 123"}